Here is a relaxed Cd2In6Au crystal from Alexandria via LeMat-Bulk. Energies are from GGA-PBE.

Output
total DFT energy (no corrections)	-2.396	eV/atom

Cell: 11.073 4.679 9.028 Å, 90.00 98.72 90.00°
Space group C2/m (No. 12)
Unique sites:
Cd  0.137  0.000  0.061 x4
In  0.042  0.500  0.823 x4
In  0.131  0.000  0.417 x4
In  0.231  0.000  0.753 x4
Au  0.000  0.500  0.500 x2

Here is a relaxed CdInAu2 crystal from Alexandria via LeMat-Bulk. Energies are from GGA-PBE.

Output
total DFT energy (no corrections)	-2.689	eV/atom

Cell: 9.711 3.661 4.753 Å, 90.00 103.70 90.00°
Space group Cm (No. 8)
Unique sites:
Cd  0.000  0.000  0.000 x2
In  0.263  0.500  0.328 x2
Au  0.005  0.500  0.512 x2
Au  0.259  0.000  0.819 x2

| no. | energy of formation from the pure elements (eV per formula unit) |
| --- | --- |
| 1 | -0.023 |
| 2 | -0.547 |